Ho2TmTa PBE optimized geometry; calculated density = 10.676 g/cm3; Fermi-level density of states = 5.1 states/eV/cell; crystal system = trigonal; total magnetization = 0.000 μB per atom; total energy = -5.792 eV/atom
1.0
-1.4449 0.8213 2.7932
1.6586 -0.1443 2.7915
3.4768 11.1728 0.4042
Ho Ta Tm
2 1 1
Direct
0.9154 0.9154 0.2537
0.0846 0.0846 0.7463
0.0000 0.0000 0.0000
0.5000 0.5000 0.5000